Computed, not measured: crystalline HfAlSb2Te at its relaxed geometry at the PBE level of DFT.

a = 5.5387 Å, b = 5.5387 Å, c = 5.5560 Å
α = 90.00°, β = 90.00°, γ = 90.00°
With the nearest neighbours (Å) after each atom.
Fractional coordinates of all 5 atoms:
Sb  0.0000  0.5000  0.0000  2 Hf 2.77
Sb  0.5000  0.0000  0.0000  2 Hf 2.77
Te  0.0000  0.0000  0.5000  2 Hf 2.78
Hf  0.0000  0.0000  0.0000  4 Sb 2.77, 2 Te 2.78
Al  0.5000  0.5000  0.5000  4 Te 3.92, 8 Sb 3.92

Output
- Distance to the lowest polymorph of the same formula: 0 meV/atom
- Energy relative to the elements, uncorrected: 0.29 eV per atom
- Crystal system: tetragonal

---

Computed, not measured: crystalline IrPt3F at its relaxed geometry at the PBE level of DFT.

a = 4.2978 Å, b = 4.2978 Å, c = 4.2978 Å
α = 90.00°, β = 90.00°, γ = 90.00°
With the nearest neighbours (Å) after each atom.
Fractional coordinates of all 5 atoms:
Ir  0.5000  0.5000  0.5000  12 Pt 3.04
Pt  0.0000  0.5000  0.0000  2 F 2.15
Pt  0.0000  0.0000  0.5000  2 F 2.15
Pt  0.5000  0.0000  0.0000  2 F 2.15
F  0.0000  0.0000  0.0000  6 Pt 2.15

Output
- Distance to the lowest polymorph of the same formula: 0 meV/atom
- Energy relative to the elements, uncorrected: 1.08 eV per atom
- Crystal system: cubic

---

Computed, not measured: crystalline Pm4IrN2 at its relaxed geometry at the PBE level of DFT.

a = 3.7013 Å, b = 6.4134 Å, c = 12.7902 Å
α = 90.00°, β = 90.00°, γ = 106.77°
With the nearest neighbours (Å) after each atom.
Fractional coordinates of all 14 atoms:
Pm  0.7732  0.5463  0.1094  3 N 2.42-2.62
Pm  0.7732  0.5463  0.3906  3 N 2.42-2.62
Pm  0.2268  0.4537  0.8906  3 N 2.42-2.62
Pm  0.2268  0.4537  0.6094  3 N 2.42-2.62
Pm  0.9338  0.8675  0.7500  2 N 2.60, 2 Ir 2.83
Pm  0.0662  0.1325  0.2500  2 N 2.60, 2 Ir 2.83
Pm  0.5000  0.0000  0.0000  4 N 2.57
Pm  0.5000  0.0000  0.5000  4 N 2.57
Ir  0.6082  0.2164  0.7500  6 Pm 2.83-2.96
Ir  0.3918  0.7836  0.2500  6 Pm 2.83-2.96
N  0.1327  0.2653  0.4431  6 Pm 2.42-2.62
N  0.8673  0.7347  0.9431  6 Pm 2.42-2.62
N  0.1327  0.2653  0.0569  6 Pm 2.42-2.62
N  0.8673  0.7347  0.5569  6 Pm 2.42-2.62

Output
- Energy relative to the elements, uncorrected: -0.97 eV per atom
- Crystal system: orthorhombic

---

Computed, not measured: crystalline Li2TlCuO4 at its relaxed geometry at the PBE level of DFT.

a = 6.0702 Å, b = 6.0702 Å, c = 6.6235 Å
α = 118.74°, β = 118.74°, γ = 87.02°
With the nearest neighbours (Å) after each atom.
Fractional coordinates of all 16 atoms:
Li  0.5000  0.0000  0.0000  4 O 2.13-2.15
Li  0.5000  0.0000  0.5000  4 O 2.13-2.15
Li  0.0000  0.0000  0.5000  2 O 2.05
Li  0.5000  0.5000  0.0000  2 O 2.05
Tl  0.0000  0.5000  0.0000  6 O 2.22-2.42
Tl  0.0000  0.5000  0.5000  6 O 2.22-2.42
Cu  0.5000  0.5000  0.5000  4 O 1.88-1.89
Cu  0.0000  0.0000  0.0000  4 O 1.88-1.89
O  0.2249  0.7767  0.9869  1 Cu 1.88
O  0.7232  0.2751  0.5131  1 Cu 1.88
O  0.2767  0.7249  0.4869  1 Cu 1.88
O  0.7751  0.2233  0.0131  1 Cu 1.88
O  0.8334  0.8445  0.0932  1 Cu 1.89, 1 Li 2.05
O  0.6555  0.6666  0.4068  1 Cu 1.89, 1 Li 2.05
O  0.3445  0.3334  0.5932  1 Cu 1.89, 1 Li 2.05
O  0.1666  0.1555  0.9068  1 Cu 1.89, 1 Li 2.05

Output
- Energy relative to the elements, uncorrected: -1.06 eV per atom
- Crystal system: monoclinic

---

Computed, not measured: crystalline Ac3InHg at its relaxed geometry at the PBE level of DFT.

a = 9.0436 Å, b = 9.0436 Å, c = 13.2816 Å
α = 74.49°, β = 74.49°, γ = 52.79°
With the nearest neighbours (Å) after each atom.
Fractional coordinates of all 20 atoms:
Ac  0.7717  0.9373  0.7743  2 Hg 3.17-3.26, 2 In 3.33-3.46
Ac  0.0627  0.2283  0.7257  2 Hg 3.17-3.26, 2 In 3.33-3.46
Ac  0.2283  0.0627  0.2257  2 Hg 3.17-3.26, 2 In 3.33-3.46
Ac  0.9373  0.7717  0.2743  2 Hg 3.17-3.26, 2 In 3.33-3.46
Ac  0.5827  0.7610  0.6376  2 Hg 3.26-3.32, 2 In 3.42-3.60
Ac  0.2390  0.4173  0.8624  2 Hg 3.26-3.32, 2 In 3.42-3.60
Ac  0.4173  0.2390  0.3624  2 Hg 3.26-3.32, 2 In 3.42-3.60
Ac  0.7610  0.5827  0.1376  2 Hg 3.26-3.32, 2 In 3.42-3.60
Ac  0.2887  0.8049  0.9792  2 Hg 3.37-3.39, 2 In 3.45-3.46
Ac  0.1951  0.7113  0.5208  2 Hg 3.37-3.39, 2 In 3.45-3.46
Ac  0.8049  0.2887  0.4792  2 Hg 3.37-3.39, 2 In 3.45-3.46
Ac  0.7113  0.1951  0.0208  2 Hg 3.37-3.39, 2 In 3.45-3.46
In  0.7618  0.5506  0.8868  7 Ac 3.33-3.65
In  0.4494  0.2382  0.6132  7 Ac 3.33-3.65
In  0.2382  0.4494  0.1132  7 Ac 3.33-3.65
In  0.5506  0.7618  0.3868  7 Ac 3.33-3.65
Hg  0.0000  0.5000  0.5000  6 Ac 3.26-3.39
Hg  0.5000  0.0000  0.0000  6 Ac 3.26-3.39
Hg  0.8085  0.1915  0.2500  6 Ac 3.17-3.37
Hg  0.1915  0.8085  0.7500  6 Ac 3.17-3.37

Output
- Distance to the lowest polymorph of the same formula: 185 meV/atom
- Crystal system: monoclinic

---

Computed, not measured: crystalline Sc2BrCl at its relaxed geometry at the PBE level of DFT.

a = 3.3089 Å, b = 6.1539 Å, c = 4.4331 Å
α = 90.00°, β = 90.00°, γ = 90.00°
With the nearest neighbours (Å) after each atom.
Fractional coordinates of all 4 atoms:
Br  0.5000  0.0000  0.5000  4 Sc 2.77
Cl  0.0000  0.5000  0.5000  4 Sc 2.77
Sc  0.0000  0.0000  0.0000  4 Br 2.77
Sc  0.5000  0.5000  0.0000  4 Cl 2.77

Output
- Distance to the lowest polymorph of the same formula: 420 meV/atom
- Energy relative to the elements, uncorrected: -0.85 eV per atom
- Crystal system: orthorhombic

---

Computed, not measured: crystalline TlCuF6 at its relaxed geometry at the PBE level of DFT.

a = 5.1680 Å, b = 5.1688 Å, c = 5.6126 Å
α = 62.58°, β = 62.58°, γ = 60.00°
With the nearest neighbours (Å) after each atom.
Fractional coordinates of all 8 atoms:
Tl  0.5000  0.5000  0.5000  6 F 2.21
Cu  0.0000  0.0000  0.0000  6 F 1.92
F  0.0770  0.3823  0.7656  1 Cu 1.92
F  0.7750  0.0770  0.7656  1 Cu 1.92
F  0.6178  0.2249  0.2344  1 Cu 1.92
F  0.2250  0.9230  0.2344  1 Cu 1.92
F  0.9230  0.6177  0.2344  1 Cu 1.92
F  0.3822  0.7751  0.7656  1 Cu 1.92

Output
- Energy relative to the elements, uncorrected: -1.56 eV per atom
- Crystal system: trigonal

---

Computed, not measured: crystalline FeTc2HRu at its relaxed geometry at the PBE level of DFT.

a = 3.8623 Å, b = 3.8623 Å, c = 3.7355 Å
α = 90.00°, β = 90.00°, γ = 90.00°
With the nearest neighbours (Å) after each atom.
Fractional coordinates of all 5 atoms:
Ru  0.5000  0.5000  0.5000  8 Tc 2.69, 4 Fe 2.73
Tc  0.0000  0.5000  0.0000  2 H 1.93
Tc  0.5000  0.0000  0.0000  2 H 1.93
H  0.0000  0.0000  0.0000  2 Fe 1.87, 4 Tc 1.93
Fe  0.0000  0.0000  0.5000  2 H 1.87

Output
- Crystal system: tetragonal
- Total DFT energy (no corrections): -8.2695 eV per atom

---

Computed, not measured: crystalline CsReAg2I8 at its relaxed geometry at the PBE level of DFT.

a = 7.2535 Å, b = 7.2393 Å, c = 10.7410 Å
α = 102.61°, β = 102.70°, γ = 66.81°
With the nearest neighbours (Å) after each atom.
Fractional coordinates of all 12 atoms:
Cs  0.0000  0.0000  0.5000  10 I 4.09-4.48
Re  0.0000  0.0000  0.0000  6 I 2.73
Ag  0.6050  0.6077  0.8112  4 I 2.76-2.93
Ag  0.3950  0.3923  0.1888  4 I 2.76-2.93
I  0.3012  0.8249  0.1886  1 Re 2.73, 1 Ag 2.93
I  0.7849  0.7856  0.0368  1 Re 2.73, 1 Ag 2.79
I  0.8255  0.3024  0.1877  1 Re 2.73, 1 Ag 2.93
I  0.6988  0.1751  0.8114  1 Re 2.73, 1 Ag 2.93
I  0.2152  0.2144  0.9632  1 Re 2.73, 1 Ag 2.79
I  0.1745  0.6976  0.8123  1 Re 2.73, 1 Ag 2.93
I  0.6465  0.6564  0.5724  1 Ag 2.76
I  0.3535  0.3436  0.4276  1 Ag 2.76

Output
- Energy relative to the elements, uncorrected: -0.27 eV per atom
- Crystal system: triclinic

---

Computed, not measured: crystalline Fe2GeCl at its relaxed geometry at the PBE level of DFT.

a = 4.3165 Å, b = 4.3165 Å, c = 4.3165 Å
α = 60.00°, β = 60.00°, γ = 60.00°
With the nearest neighbours (Å) after each atom.
Fractional coordinates of all 4 atoms:
Ge  0.5000  0.5000  0.5000  8 Fe 2.64
Fe  0.2500  0.2500  0.2500  4 Ge 2.64, 4 Cl 2.64
Fe  0.7500  0.7500  0.7500  4 Cl 2.64, 4 Ge 2.64
Cl  0.0000  0.0000  0.0000  8 Fe 2.64

Output
- Distance to the lowest polymorph of the same formula: 43 meV/atom
- Energy relative to the elements, uncorrected: 0.49 eV per atom
- Crystal system: cubic

---

Computed, not measured: crystalline Ho2TmBiC at its relaxed geometry at the PBE level of DFT.

a = 4.8344 Å, b = 4.9079 Å, c = 4.9079 Å
α = 90.00°, β = 90.00°, γ = 90.00°
With the nearest neighbours (Å) after each atom.
Fractional coordinates of all 5 atoms:
Ho  0.0000  0.0000  0.5000  2 C 2.45
Ho  0.0000  0.5000  0.0000  2 C 2.45
Tm  0.5000  0.0000  0.0000  2 C 2.42
Bi  0.5000  0.5000  0.5000  8 Ho 3.44, 4 Tm 3.47
C  0.0000  0.0000  0.0000  2 Tm 2.42, 4 Ho 2.45

Output
- Crystal system: tetragonal
- Total DFT energy (no corrections): -5.8827 eV per atom

---

Computed, not measured: crystalline SrCa2UN4 at its relaxed geometry at the PBE level of DFT.

a = 7.1386 Å, b = 7.1386 Å, c = 7.0066 Å
α = 119.39°, β = 119.39°, γ = 90.73°
With the nearest neighbours (Å) after each atom.
Fractional coordinates of all 16 atoms:
Sr  0.0000  0.5000  0.0000  6 N 2.58-2.60
Sr  0.0000  0.5000  0.5000  6 N 2.58-2.60
Ca  0.5000  0.0000  0.0000  6 N 2.51-2.52
Ca  0.5000  0.0000  0.5000  6 N 2.51-2.52
Ca  0.0000  0.0000  0.5000  4 N 2.62
Ca  0.5000  0.5000  0.0000  4 N 2.62
U  0.5000  0.5000  0.5000  2 N 2.05
U  0.0000  0.0000  0.0000  2 N 2.05
N  0.2095  0.8061  0.0078  1 U 2.05
N  0.6939  0.2905  0.4922  1 U 2.05
N  0.3061  0.7095  0.5078  1 U 2.05
N  0.7905  0.1939  0.9922  1 U 2.05
N  0.7468  0.7538  0.9775  2 U 2.40, 3 Ca 2.51-2.62, 1 Sr 2.58
N  0.7462  0.7532  0.5225  2 U 2.40, 3 Ca 2.51-2.62, 1 Sr 2.58
N  0.2538  0.2468  0.4775  2 U 2.40, 3 Ca 2.51-2.62, 1 Sr 2.58
N  0.2532  0.2462  0.0225  2 U 2.40, 3 Ca 2.51-2.62, 1 Sr 2.58

Output
- Energy relative to the elements, uncorrected: -1.16 eV per atom
- Crystal system: orthorhombic

---

Copy entry 4 word for word.
Computed, not measured: crystalline Li2TlCuO4 at its relaxed geometry at the PBE level of DFT.

a = 6.0702 Å, b = 6.0702 Å, c = 6.6235 Å
α = 118.74°, β = 118.74°, γ = 87.02°
With the nearest neighbours (Å) after each atom.
Fractional coordinates of all 16 atoms:
Li  0.5000  0.0000  0.0000  4 O 2.13-2.15
Li  0.5000  0.0000  0.5000  4 O 2.13-2.15
Li  0.0000  0.0000  0.5000  2 O 2.05
Li  0.5000  0.5000  0.0000  2 O 2.05
Tl  0.0000  0.5000  0.0000  6 O 2.22-2.42
Tl  0.0000  0.5000  0.5000  6 O 2.22-2.42
Cu  0.5000  0.5000  0.5000  4 O 1.88-1.89
Cu  0.0000  0.0000  0.0000  4 O 1.88-1.89
O  0.2249  0.7767  0.9869  1 Cu 1.88
O  0.7232  0.2751  0.5131  1 Cu 1.88
O  0.2767  0.7249  0.4869  1 Cu 1.88
O  0.7751  0.2233  0.0131  1 Cu 1.88
O  0.8334  0.8445  0.0932  1 Cu 1.89, 1 Li 2.05
O  0.6555  0.6666  0.4068  1 Cu 1.89, 1 Li 2.05
O  0.3445  0.3334  0.5932  1 Cu 1.89, 1 Li 2.05
O  0.1666  0.1555  0.9068  1 Cu 1.89, 1 Li 2.05

Output
- Energy relative to the elements, uncorrected: -1.06 eV per atom
- Crystal system: monoclinic